Entry 1:
The following is a PBE calculation of an optimized crystal structure of NbTcIrRh, from the Alexandria database.

Lattice parameters (Å, degrees): 3.920 3.922 3.946 90.00 90.00 90.00
Element x y z (fractional)
Tc 0.500 0.500 0.000
Nb 0.500 0.000 0.500
Rh 0.000 0.500 0.500
Ir 0.000 0.000 0.000

Output
E, eV/atom: -9.56
Energy relative to the elements, eV per formula unit: -1.58
Total moment, μB per cell: 0.00

---

Entry 2:
The following is a PBE calculation of an optimized crystal structure of SrInPdRu2, from the Alexandria database.

Lattice parameters (Å, degrees): 4.913 5.829 4.913 90.00 90.00 90.00
Element x y z (fractional)
Sr 0.000 0.500 0.000
In 0.000 0.000 0.000
Ru 0.000 0.000 0.500
Pd 0.500 0.500 0.500
Ru 0.500 0.000 0.000

Output
E, eV/atom: -4.20
Energy relative to the elements, eV per formula unit: 7.14
Total moment, μB per cell: 2.85

---

Entry 3:
The following is a PBE calculation of an optimized crystal structure of Cr2Sn2As, from the Alexandria database.

Lattice parameters (Å, degrees): 6.693 6.693 4.310 90.00 90.00 90.00
Element x y z (fractional)
Sn 0.343 0.157 0.500
Cr 0.157 0.343 0.000
Cr 0.343 0.843 0.000
Sn 0.843 0.343 0.500
As 0.500 0.500 0.000
Cr 0.843 0.657 0.000
Sn 0.157 0.657 0.500
Cr 0.657 0.157 0.000
Sn 0.657 0.843 0.500
As 0.000 0.000 0.000

Output
E, eV/atom: -6.14
Energy relative to the elements, eV per formula unit: 1.22
Total moment, μB per cell: 11.32

---

Entry 4:
The following is a PBE calculation of an optimized crystal structure of Pm9Pr2In, from the Alexandria database.

Lattice parameters (Å, degrees): 5.073 5.073 15.558 90.00 90.00 90.00
Element x y z (fractional)
Pm 0.500 0.500 0.672
Pm 0.500 0.000 0.500
Pr 0.000 0.000 0.330
Pm 0.500 0.000 0.841
Pr 0.000 0.000 0.670
Pm 0.500 0.000 0.159
Pm 0.500 0.500 0.328
Pm 0.000 0.500 0.159
In 0.000 0.000 0.000
Pm 0.500 0.500 0.000
Pm 0.000 0.500 0.500
Pm 0.000 0.500 0.841

Output
E, eV/atom: -4.65
Energy relative to the elements, eV per formula unit: -0.80
Total moment, μB per cell: 0.00

---

Entry 5:
The following is a PBE calculation of an optimized crystal structure of SrH2F2, from the Alexandria database.

Lattice parameters (Å, degrees): 3.924 3.929 6.262 97.30 90.00 119.96
Element x y z (fractional)
H 0.945 0.890 0.480
F 0.313 0.626 0.845
Sr 0.000 0.000 0.000
F 0.687 0.374 0.155
H 0.055 0.110 0.520

Output
E, eV/atom: -4.71
ΔE to the lowest computed polymorph, meV/atom: 0.0
Total moment, μB per cell: 0.10

---

Entry 6:
The following is a PBE calculation of an optimized crystal structure of H2PtPb2, from the Alexandria database.

Lattice parameters (Å, degrees): 3.541 3.541 7.012 75.37 75.37 90.00
Element x y z (fractional)
Pb 0.633 0.633 0.735
H 0.750 0.250 0.500
Pt 0.000 0.000 0.000
H 0.250 0.750 0.500
Pb 0.367 0.367 0.265

Output
E, eV/atom: -3.74
Total moment, μB per cell: 0.00

---

Entry 7:
The following is a PBE calculation of an optimized crystal structure of Sr2CaW, from the Alexandria database.

Lattice parameters (Å, degrees): 3.371 3.371 11.638 90.00 90.00 90.09
Element x y z (fractional)
W 0.500 0.500 0.250
Sr 0.000 0.000 0.449
Ca 0.500 0.500 0.750
Sr 0.000 0.000 0.051

Output
E, eV/atom: -3.64
ΔE to the lowest computed polymorph, meV/atom: 30.5
Energy relative to the elements, eV per formula unit: 3.75
Total moment, μB per cell: 0.00

---

Entry 8:
The following is a PBE calculation of an optimized crystal structure of ZrMnPb2, from the Alexandria database.

Lattice parameters (Å, degrees): 4.209 4.633 4.633 90.00 90.00 90.00
Element x y z (fractional)
Pb 0.000 0.000 0.000
Pb 0.000 0.500 0.500
Zr 0.500 0.500 0.000
Mn 0.500 0.000 0.500

Output
E, eV/atom: -6.12
ΔE to the lowest computed polymorph, meV/atom: 28.6
Energy relative to the elements, eV per formula unit: 0.66
Total moment, μB per cell: 3.48